NdSnAu2 | GGA-PBEsol | relaxed

Summary:
* E_form: -0.70 eV per atom
* E_tot: -5.016 eV/atom
* size of the total moment: 0.000 μB per formula unit

```
data_NdSnAu2
_chemical_formula_sum 'Nd4 Sn4 Au8'
_space_group_name_H-M_alt 'F m -3 m'
_space_group_IT_number 225
_space_group_name_Hall '-F 4 2 3'
_cell_length_a 7.037
_cell_length_b 7.037
_cell_length_c 7.037
_cell_angle_alpha 90.00
_cell_angle_beta 90.00
_cell_angle_gamma 90.00
loop_
_atom_site_label
_atom_site_type_symbol
_atom_site_fract_x
_atom_site_fract_y
_atom_site_fract_z
Nd1 Nd 0.000 0.000 0.000
Sn1 Sn 0.000 0.000 0.500
Au1 Au 0.250 0.250 0.250
```

Hf2CoIr2 | GGA-PBEsol | relaxed

Summary:
* E_form: 0.04 eV per atom
* E_tot: -9.639 eV/atom
* size of the total moment: 1.069 μB per formula unit

```
data_Hf2CoIr2
_chemical_formula_sum 'Hf4 Co2 Ir4'
_space_group_name_H-M_alt 'I 4/m m m'
_space_group_IT_number 139
_space_group_name_Hall '-I 4 2'
_cell_length_a 3.598
_cell_length_b 3.598
_cell_length_c 13.982
_cell_angle_alpha 90.00
_cell_angle_beta 90.00
_cell_angle_gamma 90.00
loop_
_atom_site_label
_atom_site_type_symbol
_atom_site_fract_x
_atom_site_fract_y
_atom_site_fract_z
Hf1 Hf 0.000 0.000 0.105
Co1 Co 0.000 0.000 0.500
Ir1 Ir 0.000 0.500 0.250
```

Pr5Bi3Br | GGA-PBEsol | relaxed

Summary:
* raw formation energy: -9.7 eV/f.u.
* E_tot: -5.595 eV/atom
* size of the total moment: 0.000 μB per formula unit

```
data_Pr5Bi3Br
_chemical_formula_sum 'Pr10 Bi6 Br2'
_space_group_name_H-M_alt 'P 63/m c m'
_space_group_IT_number 193
_space_group_name_Hall '-P 6c 2'
_cell_length_a 9.5573
_cell_length_b 9.5573
_cell_length_c 6.6610
_cell_angle_alpha 90.00
_cell_angle_beta 90.00
_cell_angle_gamma 120.00
loop_
_atom_site_label
_atom_site_type_symbol
_atom_site_fract_x
_atom_site_fract_y
_atom_site_fract_z
Pr1 Pr 0.0000 0.2710 0.2500
Pr2 Pr 0.3333 0.6667 0.0000
Bi1 Bi 0.0000 0.3856 0.7500
Br1 Br 0.0000 0.0000 0.0000
```

SrScCl | GGA-PBEsol | relaxed

Summary:
* raw formation energy: -0.9 eV/f.u.
* energy above the most stable polymorph in this dataset: 0.500 eV per atom
* E_tot: -3.782 eV/atom
* size of the total moment: 2.002 μB per formula unit

```
data_SrScCl
_chemical_formula_sum 'Sr4 Sc4 Cl4'
_space_group_name_H-M_alt 'F -4 3 m'
_space_group_IT_number 216
_space_group_name_Hall 'F -4 2 3'
_cell_length_a 6.913
_cell_length_b 6.913
_cell_length_c 6.913
_cell_angle_alpha 90.00
_cell_angle_beta 90.00
_cell_angle_gamma 90.00
loop_
_atom_site_label
_atom_site_type_symbol
_atom_site_fract_x
_atom_site_fract_y
_atom_site_fract_z
Sr1 Sr 0.000 0.000 0.000
Sc1 Sc 0.000 0.000 0.500
Cl1 Cl 0.250 0.250 0.750
```

Li2AlAg | GGA-PBEsol | relaxed

Summary:
* E_form: -0.16 eV per atom
* E_tot: -2.992 eV/atom
* size of the total moment: 0.000 μB per formula unit

```
data_Li2AlAg
_chemical_formula_sum 'Li2 Al1 Ag1'
_space_group_name_H-M_alt 'P 1 2/m 1'
_space_group_IT_number 10
_cell_length_a 2.754
_cell_length_b 4.556
_cell_length_c 5.017
_cell_angle_alpha 90.00
_cell_angle_beta 99.29
_cell_angle_gamma 90.00
loop_
_space_group_symop_operation_xyz
'x,y,z'
'-x,-y,-z'
'-x,y,-z'
'x,-y,z'
loop_
_atom_site_label
_atom_site_type_symbol
_atom_site_fract_x
_atom_site_fract_y
_atom_site_fract_z
Li1 Li 0.222 0.000 0.250
Al1 Al 0.500 0.500 0.000
Ag1 Ag 0.000 0.500 0.500
```

CuMo2Pb | GGA-PBEsol | relaxed

Summary:
* E_form: 0.69 eV per atom
* E_tot: -7.281 eV/atom
* size of the total moment: 0.000 μB per formula unit

```
data_CuMo2Pb
_chemical_formula_sum 'Cu2 Mo4 Pb2'
_space_group_name_H-M_alt 'C 1 2/m 1'
_space_group_IT_number 12
_cell_length_a 5.384
_cell_length_b 9.078
_cell_length_c 2.825
_cell_angle_alpha 90.00
_cell_angle_beta 107.09
_cell_angle_gamma 90.00
loop_
_space_group_symop_operation_xyz
'x,y,z'
'-x,-y,-z'
'-x,y,-z'
'x,-y,z'
'x+1/2,y+1/2,z'
'-x+1/2,-y+1/2,-z'
'-x+1/2,y+1/2,-z'
'x+1/2,-y+1/2,z'
loop_
_atom_site_label
_atom_site_type_symbol
_atom_site_fract_x
_atom_site_fract_y
_atom_site_fract_z
Cu1 Cu 0.000 0.000 0.000
Mo1 Mo 0.250 0.250 0.500
Pb1 Pb 0.000 0.500 0.000
```

LaIrCl2 | GGA-PBEsol | relaxed

Summary:
* raw formation energy: -3.1 eV/f.u.
* energy above the most stable polymorph in this dataset: 0.000 eV per atom
* E_tot: -5.569 eV/atom
* size of the total moment: 0.000 μB per formula unit

```
data_LaIrCl2
_chemical_formula_sum 'La4 Ir4 Cl8'
_space_group_name_H-M_alt 'F m m m'
_space_group_IT_number 69
_space_group_name_Hall '-F 2 2'
_cell_length_a 6.035
_cell_length_b 6.339
_cell_length_c 8.942
_cell_angle_alpha 90.00
_cell_angle_beta 90.00
_cell_angle_gamma 90.00
loop_
_atom_site_label
_atom_site_type_symbol
_atom_site_fract_x
_atom_site_fract_y
_atom_site_fract_z
La1 La 0.000 0.000 0.000
Ir1 Ir 0.000 0.000 0.500
Cl1 Cl 0.000 0.250 0.250
```

SbOs2W | GGA-PBEsol | relaxed

Summary:
* raw formation energy: 2.3 eV/f.u.
* E_tot: -10.114 eV/atom
* size of the total moment: 0.000 μB per formula unit

```
data_SbOs2W
_chemical_formula_sum 'Sb2 Os4 W2'
_space_group_name_H-M_alt 'I m m 2'
_space_group_IT_number 44
_cell_length_a 3.048
_cell_length_b 4.548
_cell_length_c 9.121
_cell_angle_alpha 90.00
_cell_angle_beta 90.00
_cell_angle_gamma 90.00
loop_
_space_group_symop_operation_xyz
'x,y,z'
'-x,-y,z'
'-x,y,z'
'x,-y,z'
'x+1/2,y+1/2,z+1/2'
'-x+1/2,-y+1/2,z+1/2'
'-x+1/2,y+1/2,z+1/2'
'x+1/2,-y+1/2,z+1/2'
loop_
_atom_site_label
_atom_site_type_symbol
_atom_site_fract_x
_atom_site_fract_y
_atom_site_fract_z
Sb1 Sb 0.000 0.000 0.000
Os1 Os 0.000 0.000 0.500
Os2 Os 0.000 0.500 0.728
W1 W 0.000 0.500 0.259
```

GaSbH3 | GGA-PBEsol | relaxed

Summary:
* E_tot: -3.025 eV/atom
* size of the total moment: 0.000 μB per formula unit

```
data_GaSbH3
_chemical_formula_sum 'Ga1 Sb1 H3'
_space_group_name_H-M_alt 'P m -3 m'
_space_group_IT_number 221
_space_group_name_Hall '-P 4 2 3'
_cell_length_a 4.062
_cell_length_b 4.062
_cell_length_c 4.062
_cell_angle_alpha 90.00
_cell_angle_beta 90.00
_cell_angle_gamma 90.00
loop_
_atom_site_label
_atom_site_type_symbol
_atom_site_fract_x
_atom_site_fract_y
_atom_site_fract_z
Ga1 Ga 0.000 0.000 0.000
Sb1 Sb 0.500 0.500 0.500
H1 H 0.000 0.500 0.500
```

LiYTc | GGA-PBEsol | relaxed

Summary:
* energy above the most stable polymorph in this dataset: 0.077 eV per atom
* E_form: 0.47 eV per atom
* E_tot: -6.218 eV/atom
* size of the total moment: 0.000 μB per formula unit

```
data_LiYTc
_chemical_formula_sum 'Li4 Y4 Tc4'
_space_group_name_H-M_alt 'F m m 2'
_space_group_IT_number 42
_space_group_name_Hall 'F 2 -2'
_cell_length_a 3.365
_cell_length_b 4.852
_cell_length_c 14.165
_cell_angle_alpha 90.00
_cell_angle_beta 90.00
_cell_angle_gamma 90.00
loop_
_atom_site_label
_atom_site_type_symbol
_atom_site_fract_x
_atom_site_fract_y
_atom_site_fract_z
Li1 Li 0.000 0.000 0.000
Y1 Y 0.000 0.000 0.292
Tc1 Tc 0.000 0.000 0.645
```

Eu2TlSn | GGA-PBEsol | relaxed

Summary:
* E_form: -0.61 eV per atom
* E_tot: -7.612 eV/atom
* size of the total moment: 14.317 μB per formula unit

```
data_Eu2TlSn
_chemical_formula_sum 'Eu8 Tl4 Sn4'
_space_group_name_H-M_alt 'F m -3 m'
_space_group_IT_number 225
_space_group_name_Hall '-F 4 2 3'
_cell_length_a 7.717
_cell_length_b 7.717
_cell_length_c 7.717
_cell_angle_alpha 90.00
_cell_angle_beta 90.00
_cell_angle_gamma 90.00
loop_
_atom_site_label
_atom_site_type_symbol
_atom_site_fract_x
_atom_site_fract_y
_atom_site_fract_z
Eu1 Eu 0.250 0.250 0.250
Tl1 Tl 0.000 0.000 0.000
Sn1 Sn 0.000 0.000 0.500
```

SrBeIr2 | GGA-PBEsol | relaxed

Summary:
* E_form: 0.20 eV per atom
* E_tot: -6.169 eV/atom
* size of the total moment: 0.001 μB per formula unit

```
data_SrBeIr2
_chemical_formula_sum 'Sr1 Be1 Ir2'
_space_group_name_H-M_alt 'P 4 m m'
_space_group_IT_number 99
_cell_length_a 3.026
_cell_length_b 3.026
_cell_length_c 7.197
_cell_angle_alpha 90.00
_cell_angle_beta 90.00
_cell_angle_gamma 90.00
loop_
_space_group_symop_operation_xyz
'x,y,z'
'-y,x,z'
'-x,-y,z'
'y,-x,z'
'-x,y,z'
'y,x,z'
'x,-y,z'
'-y,-x,z'
loop_
_atom_site_label
_atom_site_type_symbol
_atom_site_fract_x
_atom_site_fract_y
_atom_site_fract_z
Sr1 Sr 0.000 0.000 0.000
Be1 Be 0.500 0.500 0.345
Ir1 Ir 0.000 0.000 0.450
Ir2 Ir 0.500 0.500 0.697
```